# TcC2

An optimized crystal structure of TcC2 (PBE, Alexandria via LeMat-Bulk).

Calculated values
density: 7.76 g cm⁻³
energy of formation: 752 meV/atom
E above lowest polymorph: 0.296 eV per atom
V: 52 Å³/cell
calculated total energy: -8.8525 eV/atom

```
data_TcC2
_chemical_formula_sum 'Tc2 C4'
_cell_length_a 4.114
_cell_length_b 4.114
_cell_length_c 4.114
_cell_angle_alpha 115.01
_cell_angle_beta 115.01
_cell_angle_gamma 98.89
_symmetry_space_group_name_H-M 'P 1'
_symmetry_Int_Tables_number 1
loop_
_symmetry_equiv_pos_as_xyz
'x,y,z'
loop_
_atom_site_label
_atom_site_type_symbol
_atom_site_fract_x
_atom_site_fract_y
_atom_site_fract_z
Tc1 Tc 0.250 0.250 0.000
Tc2 Tc 0.750 0.750 0.000
C1 C 0.114 0.614 0.729
C2 C 0.386 0.114 0.500
C3 C 0.614 0.886 0.500
C4 C 0.886 0.386 0.271
```